{"formula": "MoPdSe", "functional": "PBE-GGA", "state": "relaxed", "magnetic_moment_mub_per_atom": 0.00, "sg": "Amm2", "formation_energy_uncorrected_mev_per_atom": -91, "cell": [[12.542, 0.000, 0.000], [0.000, 3.104, 0.000], [0.000, 0.000, 5.377]], "species": ["Mo", "Mo", "Mo", "Mo", "Pd", "Pd", "Pd", "Pd", "Se", "Se", "Se", "Se"], "frac_coords": [[0.000, 0.000, 0.000], [0.000, 0.500, 0.500], [0.500, 0.000, 0.003], [0.500, 0.500, 0.503], [0.158, 0.000, 0.333], [0.158, 0.500, 0.833], [0.842, 0.000, 0.333], [0.842, 0.500, 0.833], [0.358, 0.000, 0.669], [0.358, 0.500, 0.169], [0.642, 0.000, 0.669], [0.642, 0.500, 0.169]]}

{"formula": "Al2AgAu3", "functional": "PBE-GGA", "state": "relaxed", "e_above_lowest_polymorph_ev_per_atom": 0.005, "magnetic_moment_mub_per_atom": 0.00, "sg": "I4_1/amd", "cell": [[-4.231, 4.231, 5.825], [4.231, -4.231, 5.825], [4.231, 4.231, -5.825]], "species": ["Al", "Al", "Al", "Al", "Al", "Al", "Al", "Al", "Ag", "Ag", "Ag", "Ag", "Au", "Au", "Au", "Au", "Au", "Au", "Au", "Au", "Au", "Au", "Au", "Au"], "frac_coords": [[0.284, 0.359, 0.575], [0.284, 0.709, 0.925], [0.291, 0.716, 0.575], [0.359, 0.284, 0.075], [0.641, 0.716, 0.925], [0.709, 0.284, 0.425], [0.716, 0.291, 0.075], [0.716, 0.641, 0.425], [0.053, 0.303, 0.750], [0.303, 0.053, 0.250], [0.697, 0.947, 0.750], [0.947, 0.697, 0.250], [0.000, 0.500, 0.500], [0.055, 0.305, 0.111], [0.055, 0.945, 0.750], [0.305, 0.055, 0.611], [0.305, 0.695, 0.250], [0.500, 0.000, 0.000], [0.500, 0.500, 0.000], [0.500, 0.500, 0.500], [0.695, 0.305, 0.750], [0.695, 0.945, 0.389], [0.945, 0.055, 0.250], [0.945, 0.695, 0.889]]}

{"formula": "CaLa2Au3", "functional": "PBE-GGA", "state": "relaxed", "e_above_lowest_polymorph_ev_per_atom": 0.000, "magnetic_moment_mub_per_atom": 0.00, "sg": "Cmmm", "cell": [[5.282, 0.000, 0.000], [0.000, 15.949, 0.000], [0.000, 0.000, 3.738]], "species": ["Ca", "Ca", "La", "La", "La", "La", "Au", "Au", "Au", "Au", "Au", "Au"], "frac_coords": [[0.000, 0.000, 0.000], [0.500, 0.500, 0.000], [0.000, 0.338, 0.000], [0.000, 0.662, 0.000], [0.500, 0.162, 0.000], [0.500, 0.838, 0.000], [0.000, 0.172, 0.500], [0.000, 0.500, 0.500], [0.000, 0.828, 0.500], [0.500, 0.000, 0.500], [0.500, 0.328, 0.500], [0.500, 0.672, 0.500]]}

{"formula": "KMg", "functional": "PBE-GGA", "state": "relaxed", "final_energy_ev_per_atom": -1.04, "magnetic_moment_mub_per_atom": 0.00, "sg": "P6_3/mmc", "cell": [[3.847, 0.000, 0.000], [-1.923, 3.331, 0.000], [0.000, 0.000, 12.749]], "species": ["K", "K", "Mg", "Mg"], "frac_coords": [[0.000, 0.000, 0.000], [0.000, 0.000, 0.500], [0.333, 0.667, 0.250], [0.667, 0.333, 0.750]]}

{"formula": "LaCrSe2", "functional": "PBE-GGA", "state": "relaxed", "e_above_lowest_polymorph_ev_per_atom": 0.125, "magnetic_moment_mub_per_atom": 1.17, "sg": "Imm2", "formation_energy_uncorrected_mev_per_atom": -978, "cell": [[3.842, 0.000, 0.000], [0.000, 3.906, 0.000], [0.000, 0.000, 13.238]], "species": ["La", "La", "Cr", "Cr", "Se", "Se", "Se", "Se"], "frac_coords": [[0.000, 0.000, 0.000], [0.500, 0.500, 0.500], [0.000, 0.500, 0.272], [0.500, 0.000, 0.772], [0.000, 0.000, 0.593], [0.000, 0.500, 0.821], [0.500, 0.000, 0.321], [0.500, 0.500, 0.093]]}

{"formula": "AcLaCl6", "functional": "PBE-GGA", "state": "relaxed", "magnetic_moment_mub_per_atom": 0.00, "sg": "R-3", "formation_energy_uncorrected_mev_per_atom": -2367, "cell": [[3.551, 2.050, 6.652], [-3.551, 2.050, 6.652], [0.000, -4.100, 6.652]], "species": ["Ac", "La", "Cl", "Cl", "Cl", "Cl", "Cl", "Cl"], "frac_coords": [[0.000, 0.000, 0.000], [0.500, 0.500, 0.500], [0.103, 0.744, 0.407], [0.256, 0.593, 0.897], [0.407, 0.103, 0.744], [0.593, 0.897, 0.256], [0.744, 0.407, 0.103], [0.897, 0.256, 0.593]]}